A.
Compound: Fe3WS
Source: Alexandria
Functional: GGA-PBEsol
Structure: relaxed

Results
Crystal system: cubic
D(E_F): 5.5 states/eV/f.u.
Size of the total moment: 5.115 Bohr magnetons per cell
Calculated volume: 12.96 Å³ per atom

Cell lengths 4.0171, 4.0171, 4.0171 Å; angles 90.00, 90.00, 90.00 degrees
Last column: nearest neighbours and their distance in Å.
Element x y z (fractional)
Fe1 0.5000 0.0000 0.0000  2 S 2.01
Fe2 0.0000 0.0000 0.5000  2 S 2.01
S1 0.0000 0.0000 0.0000  6 Fe 2.01
Fe3 0.0000 0.5000 0.0000  2 S 2.01
W1 0.5000 0.5000 0.5000  12 Fe 2.84

***

B.
Compound: Fe3WS
Source: Alexandria
Functional: GGA-PBEsol
Structure: relaxed

Results
Crystal system: cubic
D(E_F): 6.1 states/eV/f.u.
Size of the total moment: 5.064 Bohr magnetons per cell
Calculated volume: 17.64 Å³ per atom

Cell lengths 4.4517, 4.4517, 4.4517 Å; angles 90.00, 90.00, 90.00 degrees
Last column: nearest neighbours and their distance in Å.
Element x y z (fractional)
S1 0.5000 0.5000 0.5000  12 Fe 3.15
W1 0.0000 0.0000 0.0000  6 Fe 2.23
Fe1 0.5000 0.0000 0.0000  2 W 2.23
Fe2 0.0000 0.0000 0.5000  2 W 2.23
Fe3 0.0000 0.5000 0.0000  2 W 2.23

***

Question: of the structures shown, which is the least stable? Reply: B.